Material: BaNaRh
Method: DFT, PBE-GGA
State: optimized geometry

Results
- Density of states at the Fermi level: 2.04 states/eV/f.u.
- Calculated density: 4.29 g cm⁻³
- Polymorph energy (0 for the lowest one): 0.071 eV/atom
- Formation energy from the elements: -20.1 meV/atom

Lattice parameters (Å, degrees): 4.6371 5.6957 8.2143 101.05 106.40 90.00
Sites, in units of the cell vectors:
Na (0.4109, 0.1962, 0.8219)
Ba (0.8554, 0.6638, 0.7107)
Ba (0.1446, 0.3362, 0.2893)
Na (0.5891, 0.8038, 0.1781)
Rh (0.2371, 0.9156, 0.4742)
Rh (0.7629, 0.0844, 0.5258)

=====

Material: Ba3Na2Rh2
Method: DFT, PBE-GGA
State: optimized geometry

Results
- Density of states at the Fermi level: 5.80 states/eV/f.u.
- Calculated density: 3.67 g cm⁻³
- Formation energy from the elements: -45.7 meV/atom

Lattice parameters (Å, degrees): 4.5657 6.3583 11.5309 75.55 78.62 68.94
Sites, in units of the cell vectors:
Ba (0.0000, 0.0000, 0.0000)
Ba (0.6529, 0.4498, 0.2457)
Rh (0.7330, 0.5629, 0.9710)
Na (0.1266, 0.1882, 0.5579)
Ba (0.3471, 0.5502, 0.7543)
Rh (0.2670, 0.4371, 0.0290)
Na (0.8734, 0.8118, 0.4421)